1.
A geometry-optimized BaSnO3 structure. Source: Alexandria, functional PBE.

Its formation energy from raw total energies is -1.311 eV per atom.

The space group is P6_3/mmc (No. 194) and the conventional cell measures 3.9278, 3.9278 and 14.5377 Å, with angles of 90.00, 90.00 and 120.00 degrees. The asymmetric unit holds Ba at (0.3333, 0.6667, 0.2500), Sn at (0.0000, 0.0000, 0.0000), O at (0.0000, 0.0000, 0.2500) and O at (0.3333, 0.6667, 0.0523).

---

2.
A geometry-optimized TbPuCdO6 structure. Source: Alexandria, functional PBE.

Its formation energy from raw total energies is -2.315 eV per atom.

The space group is P312 (No. 149) and the conventional cell measures 5.7501, 5.7501 and 4.7154 Å, with angles of 90.00, 90.00 and 120.00 degrees. The asymmetric unit holds Tb at (0.0000, 0.0000, 0.0000), Pu at (0.6667, 0.3333, 0.0000), Cd at (0.3333, 0.6667, 0.5000) and O at (0.3663, 0.0377, 0.7722).

---

3.
A geometry-optimized HoBC2 structure. Source: Alexandria, functional PBE.

The energy relative to the elements comes out at -40.9 meV per atom.

The space group is Cmcm (No. 63) and the conventional cell measures 4.846, 13.717 and 2.831 Å, with angles of 90.00, 90.00 and 90.00 degrees. The asymmetric unit holds Ho at (0.000, 0.170, 0.250), B at (0.000, 0.360, 0.250), C at (0.000, 0.305, 0.750) and C at (0.000, 0.474, 0.250).

---

What is the formula in the first record?
BaSnO3

---

Please write out number 1 again, unchanged.
A geometry-optimized BaSnO3 structure. Source: Alexandria, functional PBE.

Its formation energy from raw total energies is -1.311 eV per atom.

The space group is P6_3/mmc (No. 194) and the conventional cell measures 3.9278, 3.9278 and 14.5377 Å, with angles of 90.00, 90.00 and 120.00 degrees. The asymmetric unit holds Ba at (0.3333, 0.6667, 0.2500), Sn at (0.0000, 0.0000, 0.0000), O at (0.0000, 0.0000, 0.2500) and O at (0.3333, 0.6667, 0.0523).